1.
First-principles (GGA-PBE) data for DyY4Er2Ni2Te2 after structural relaxation, as listed in the Open Quantum Materials Database.

Calculated values
V: 26.27 Å³ per atom
size of the total moment: 0.02 μB per formula unit
energy above the lowest structure with this stoichiometry: 11 meV/atom

Cell lengths 3.855, 15.633, 9.591 Å; angles 90.00, 90.00, 90.00 degrees
Space group Imm2 (No. 44)
Asymmetric unit:
Dy (0.000, 0.000, 0.000) (multiplicity 2)
Y (0.000, 0.131, 0.418) (multiplicity 4)
Y (0.000, 0.316, 0.620) (multiplicity 4)
Er (0.000, 0.354, 0.268) (multiplicity 4)
Ni (0.000, 0.238, 0.928) (multiplicity 4)
Te (0.000, 0.000, 0.664) (multiplicity 2)
Te (0.000, 0.500, 0.764) (multiplicity 2)

2.
First-principles (GGA-PBE) data for Dy4YEr2Ni2Te2 after structural relaxation, as listed in the Open Quantum Materials Database.

Calculated values
V: 26.10 Å³ per atom
size of the total moment: 0.01 μB per formula unit
energy above the lowest structure with this stoichiometry: 0 meV/atom

Cell lengths 3.848, 15.635, 9.545 Å; angles 90.00, 90.00, 90.00 degrees
Space group Imm2 (No. 44)
Asymmetric unit:
Dy (0.000, 0.132, 0.000) (multiplicity 4)
Dy (0.000, 0.353, 0.852) (multiplicity 4)
Y (0.000, 0.000, 0.583) (multiplicity 2)
Er (0.000, 0.315, 0.202) (multiplicity 4)
Ni (0.000, 0.238, 0.511) (multiplicity 4)
Te (0.000, 0.000, 0.247) (multiplicity 2)
Te (0.000, 0.500, 0.346) (multiplicity 2)